[1]
## KPtPbCl6 (PBE)

Data for KPtPbCl6 after structural relaxation.

a = 7.017 Å, b = 7.010 Å, c = 6.742 Å
α = 89.09°, β = 90.90°, γ = 62.25°
Each line ends with the local moment (μB).
Sites, in units of the cell vectors:
Pt: 0.333 0.333 0.500  0.55
Cl: 0.617 0.038 0.261  0.14
Cl: 0.343 0.050 0.702  0.01
Cl: 0.334 0.608 0.296  0.01
Cl: 0.052 0.339 0.299  0.01
Pb: 0.681 0.680 0.498  0.00
K: 0.000 0.000 0.998  0.00
Cl: 0.035 0.614 0.740  0.14
Cl: 0.605 0.338 0.706  0.01

Computed properties:
Symmetry: P1, No. 1
Formation energy from raw total energies in eV per atom: -0.965
Magnetization in μB/cell: 1.001
Total DFT energy (no corrections) in eV per cell: -30.6

***

[2]
## HfCu9Sn2 (PBE)

Data for HfCu9Sn2 after structural relaxation.

a = 4.978 Å, b = 4.978 Å, c = 8.676 Å
α = 73.33°, β = 73.33°, γ = 60.00°
Sites, in units of the cell vectors:
Cu: 0.920 0.417 0.246
Hf: 0.000 0.000 0.000
Cu: 0.417 0.920 0.246
Cu: 0.333 0.333 0.000
Sn: 0.135 0.135 0.595
Cu: 0.583 0.080 0.754
Cu: 0.583 0.583 0.754
Cu: 0.080 0.583 0.754
Cu: 0.667 0.667 0.000
Sn: 0.865 0.865 0.405
Cu: 0.417 0.417 0.246
Cu: 0.500 0.500 0.500

Computed properties:
Symmetry: R-3m, No. 166
Magnetization in μB/cell: 0.000
Total DFT energy (no corrections) in eV per cell: -55.1

***

[3]
## La8Ho3Tm3 (PBE)

Data for La8Ho3Tm3 after structural relaxation.

a = 5.674 Å, b = 9.811 Å, c = 9.811 Å
α = 101.31°, β = 73.19°, γ = 73.19°
Sites, in units of the cell vectors:
La: 0.162 0.232 0.445
La: 0.343 0.426 0.887
La: 0.838 0.768 0.555
Tm: 0.800 0.200 0.200
Ho: 0.000 0.175 0.825
La: 0.838 0.555 0.768
Ho: 0.000 0.825 0.175
La: 0.162 0.445 0.232
La: 0.343 0.887 0.426
Ho: 0.500 0.000 0.000
Tm: 0.200 0.800 0.800
La: 0.657 0.574 0.113
Tm: 0.500 0.500 0.500
La: 0.657 0.113 0.574

Computed properties:
Symmetry: Immm, No. 71
Magnetization in μB/cell: 0.000
Total DFT energy (no corrections) in eV per cell: -65.1

***

[4]
## Li4Al5 (PBE)

Data for Li4Al5 after structural relaxation.

a = 7.808 Å, b = 7.808 Å, c = 5.573 Å
α = 90.00°, β = 90.00°, γ = 120.00°
Sites, in units of the cell vectors:
Al: 0.667 0.333 0.500
Li: 0.315 0.000 0.250
Li: 0.685 0.685 0.250
Li: 0.000 0.000 0.500
Li: 0.685 0.000 0.750
Li: 0.315 0.315 0.750
Al: 0.000 0.352 0.750
Al: 0.667 0.333 0.000
Al: 0.352 0.000 0.750
Al: 0.648 0.000 0.250
Al: 0.648 0.648 0.750
Al: 0.333 0.667 0.500
Al: 0.000 0.648 0.250
Li: 0.000 0.685 0.750
Li: 0.000 0.315 0.250
Li: 0.000 0.000 0.000
Al: 0.333 0.667 0.000
Al: 0.352 0.352 0.250

Computed properties:
Symmetry: P6_3/mcm, No. 193
Magnetization in μB/cell: 0.000
Total DFT energy (no corrections) in eV per cell: -53.6

***

[5]
## KBeRe2B (PBE)

Data for KBeRe2B after structural relaxation.

a = 4.431 Å, b = 3.728 Å, c = 4.431 Å
α = 90.00°, β = 90.00°, γ = 90.00°
Each line ends with the local moment (μB).
Sites, in units of the cell vectors:
K: 0.500 0.500 0.500  0.07
Be: 0.000 0.000 0.000  -0.02
Re: 0.500 0.000 0.000  0.89
Re: 0.000 0.000 0.500  1.08
B: 0.000 0.500 0.000  -0.05

Computed properties:
Symmetry: P4/mmm, No. 123
Magnetization in μB/cell: 2.261
Total DFT energy (no corrections) in eV per cell: -26.9

***

[6]
## Ca3InAs2Rh9 (PBE)

Data for Ca3InAs2Rh9 after structural relaxation.

a = 6.280 Å, b = 6.280 Å, c = 9.432 Å
α = 90.00°, β = 90.00°, γ = 120.00°
Sites, in units of the cell vectors:
Rh: 0.138 0.277 0.260
Rh: 0.862 0.723 0.740
Rh: 0.138 0.862 0.260
As: 0.667 0.333 0.832
Ca: 0.333 0.667 0.718
Rh: 0.500 0.500 0.000
Rh: 0.000 0.500 0.000
Ca: 0.000 0.000 0.000
Rh: 0.723 0.862 0.260
Rh: 0.500 0.000 0.000
Rh: 0.277 0.138 0.740
As: 0.333 0.667 0.168
In: 0.000 0.000 0.500
Ca: 0.667 0.333 0.282
Rh: 0.862 0.138 0.740

Computed properties:
Symmetry: P-3m1, No. 164
Magnetization in μB/cell: 0.000
Total DFT energy (no corrections) in eV per cell: -86.9

***

Please write out number 6 again, unchanged.
## Ca3InAs2Rh9 (PBE)

Data for Ca3InAs2Rh9 after structural relaxation.

a = 6.280 Å, b = 6.280 Å, c = 9.432 Å
α = 90.00°, β = 90.00°, γ = 120.00°
Sites, in units of the cell vectors:
Rh: 0.138 0.277 0.260
Rh: 0.862 0.723 0.740
Rh: 0.138 0.862 0.260
As: 0.667 0.333 0.832
Ca: 0.333 0.667 0.718
Rh: 0.500 0.500 0.000
Rh: 0.000 0.500 0.000
Ca: 0.000 0.000 0.000
Rh: 0.723 0.862 0.260
Rh: 0.500 0.000 0.000
Rh: 0.277 0.138 0.740
As: 0.333 0.667 0.168
In: 0.000 0.000 0.500
Ca: 0.667 0.333 0.282
Rh: 0.862 0.138 0.740

Computed properties:
Symmetry: P-3m1, No. 164
Magnetization in μB/cell: 0.000
Total DFT energy (no corrections) in eV per cell: -86.9